Here is InP3Se at its PBEsol-relaxed geometry from Alexandria. Energies are from SCAN.

* uncorrected formation energy: 1044 meV/atom
* space group: Pm-3m (221)
* total DFT energy (no corrections): -79.44 eV/f.u.

abc: 4.727 4.727 4.727
angles: 90.00 90.00 90.00
Element x y z (fractional)
In 0.000 0.000 0.000
P 0.000 0.500 0.500
P 0.500 0.000 0.500
P 0.500 0.500 0.000
Se 0.500 0.500 0.500